CuNi6Rh | SCAN | PBEsol geometry

Cell: 6.1028 6.1028 9.9598 Å, 90.00 90.00 109.53°
Element x y z (fractional)
Cu  0.0000  0.0000  0.2478
Cu  0.0000  0.0000  0.7522
Cu  0.2506  0.7494  0.0000
Cu  0.7494  0.2506  0.0000
Ni  0.0000  0.0000  0.0000
Ni  0.0000  0.0000  0.5000
Ni  0.1220  0.3732  0.1231
Ni  0.1220  0.3732  0.8769
Ni  0.1234  0.3719  0.3728
Ni  0.1234  0.3719  0.6272
Ni  0.2492  0.7508  0.2478
Ni  0.2492  0.7508  0.7522
Ni  0.3719  0.1234  0.3728
Ni  0.3719  0.1234  0.6272
Ni  0.3732  0.1220  0.1231
Ni  0.3732  0.1220  0.8769
Ni  0.5000  0.5000  0.0000
Ni  0.5000  0.5000  0.5000
Ni  0.6268  0.8780  0.1231
Ni  0.6268  0.8780  0.8769
Ni  0.6281  0.8766  0.3728
Ni  0.6281  0.8766  0.6272
Ni  0.7508  0.2492  0.2478
Ni  0.7508  0.2492  0.7522
Ni  0.8766  0.6281  0.3728
Ni  0.8766  0.6281  0.6272
Ni  0.8780  0.6268  0.1231
Ni  0.8780  0.6268  0.8769
Rh  0.2510  0.7490  0.5000
Rh  0.5000  0.5000  0.2467
Rh  0.5000  0.5000  0.7533
Rh  0.7490  0.2510  0.5000

Results
Its density is 9.854 g/cm3. The calculated total energy comes out at -583.2 eV/cell. Its calculated volume is 349.6 Å³ per cell. The size of the total moment comes out at 5.38 μB/f.u. For the formation energy, the calculation gives 0.21 eV/f.u. As for the space group: Cmmm (65).